Record 1
The following is a DFT calculation (GGA+U) of crystalline V3OF11 at its relaxed geometry.

Geometry as POSCAR:
```
V3OF11
1.0
5.263 0.000 0.000
0.000 5.461 0.008
0.000 2.665 14.791
F V O
22 6 2
Direct
0.774 0.204 0.640 F
0.918 0.530 0.447 F
0.926 0.208 0.116 F
0.708 0.399 0.307 F
0.205 0.939 0.023 F
0.705 0.061 0.977 F
0.208 0.601 0.693 F
0.092 0.291 0.885 F
0.595 0.043 0.448 F
0.207 0.293 0.358 F
0.812 0.561 0.977 F
0.096 0.624 0.222 F
0.312 0.439 0.023 F
0.420 0.128 0.218 F
0.596 0.376 0.778 F
0.592 0.709 0.115 F
0.426 0.792 0.884 F
0.418 0.470 0.553 F
0.095 0.957 0.552 F
0.707 0.707 0.642 F
0.274 0.796 0.360 F
0.920 0.872 0.782 F
0.986 0.897 0.665 V
0.486 0.103 0.335 V
0.008 0.250 0.000 V
0.468 0.369 0.670 V
0.508 0.750 0.000 V
0.968 0.631 0.330 V
0.286 0.120 0.690 O
0.786 0.880 0.310 O
```

The value obtained for the polymorph energy (0 for the lowest one) is 7 meV/atom. As for the space-group type: P2_1, No. 4. Its raw total energy is -5.72 eV/atom.

---

Record 2
The following is a DFT calculation (GGA+U) of crystalline V3OF7 at its relaxed geometry.

Geometry as POSCAR:
```
V3OF7
1.0
7.973 0.000 -0.007
0.000 9.966 0.000
-1.007 0.000 3.889
F O V
14 2 6
Direct
0.268 0.116 0.625 F
0.398 0.534 0.190 F
0.602 0.034 0.792 F
0.602 0.466 0.792 F
0.732 0.616 0.357 F
0.268 0.384 0.625 F
0.732 0.884 0.357 F
0.923 0.750 0.952 F
0.895 0.386 0.439 F
0.077 0.250 0.030 F
0.398 0.966 0.190 F
0.105 0.614 0.543 F
0.895 0.114 0.439 F
0.105 0.886 0.543 F
0.413 0.750 0.697 O
0.587 0.250 0.284 O
0.358 0.927 0.670 V
0.642 0.427 0.312 V
0.642 0.073 0.312 V
0.080 0.250 0.532 V
0.920 0.750 0.451 V
0.358 0.573 0.670 V
```

As for the space-group type: Cmcm, No. 63. Its raw total energy is -6.33 eV/atom.

---

Record 3
The following is a DFT calculation (GGA+U) of crystalline V3O5F at its relaxed geometry.

Geometry as POSCAR:
```
V3O5F
1.0
-3.513 -1.961 2.342
-0.599 -3.284 -3.245
5.802 -5.355 4.294
O V F
10 6 2
Direct
0.700 0.308 0.833 O
0.308 0.692 0.500 O
0.193 0.193 0.328 O
0.300 0.692 0.167 O
0.692 0.308 0.500 O
0.794 0.794 0.998 O
0.692 0.300 0.167 O
0.807 0.807 0.672 O
0.206 0.206 0.002 O
0.308 0.700 0.833 O
0.541 0.541 0.667 V
0.992 0.992 0.849 V
0.000 0.000 0.500 V
0.008 0.008 0.151 V
0.459 0.459 0.333 V
0.500 0.500 0.000 V
0.800 0.800 0.327 F
0.200 0.200 0.673 F
```

The value obtained for the polymorph energy (0 for the lowest one) is 17 meV/atom. As for the space-group type: C2/m, No. 12. Its raw total energy is -7.58 eV/atom.

---

Record 4
The following is a DFT calculation (GGA+U) of crystalline V3O4F2 at its relaxed geometry.

Geometry as POSCAR:
```
V3O4F2
1.0
4.731 0.011 -0.002
0.361 4.717 -0.002
0.009 0.008 9.123
F V O
4 6 8
Direct
0.200 0.200 0.165 F
0.800 0.800 0.835 F
0.805 0.805 0.500 F
0.195 0.195 0.500 F
0.998 0.998 0.327 V
0.453 0.453 0.835 V
0.547 0.547 0.165 V
0.000 0.000 0.000 V
0.002 0.002 0.673 V
0.500 0.500 0.500 V
0.308 0.701 0.330 O
0.692 0.308 0.000 O
0.299 0.692 0.670 O
0.804 0.804 0.164 O
0.196 0.196 0.836 O
0.692 0.299 0.670 O
0.308 0.692 0.000 O
0.701 0.308 0.330 O
```

The value obtained for the polymorph energy (0 for the lowest one) is 12 meV/atom. As for the space-group type: C2/m, No. 12. Its raw total energy is -7.38 eV/atom.

---

Record 5
The following is a DFT calculation (GGA+U) of crystalline V4O3F5 at its relaxed geometry.

Geometry as POSCAR:
```
V4O3F5
1.0
5.731 -0.004 -0.004
-1.434 5.548 0.004
-1.955 -2.922 4.525
O F V
3 5 4
Direct
0.687 0.500 0.187 O
0.718 0.000 0.718 O
0.298 0.000 0.298 O
0.807 0.062 0.257 F
0.195 0.450 0.257 F
0.195 0.938 0.746 F
0.293 0.500 0.793 F
0.807 0.550 0.746 F
0.510 0.769 0.279 V
0.510 0.231 0.740 V
0.008 0.000 0.008 V
0.972 0.500 0.472 V
```

As for the space-group type: Imm2, No. 44. Its raw total energy is -6.94 eV/atom.

---

Record 6
The following is a DFT calculation (GGA+U) of crystalline VOF3 at its relaxed geometry.

Geometry as POSCAR:
```
VOF3
1.0
-1.750 0.720 5.154
2.156 -4.879 1.414
5.261 -0.313 1.830
O F V
2 6 2
Direct
0.534 0.059 0.186 O
0.466 0.059 0.686 O
0.005 0.937 0.322 F
0.192 0.347 0.860 F
0.320 0.650 0.194 F
0.808 0.347 0.360 F
0.995 0.937 0.822 F
0.680 0.650 0.694 F
0.722 0.006 0.438 V
0.278 0.006 0.938 V
```

As for the space-group type: Pc, No. 7. Its raw total energy is -5.91 eV/atom.

---

Record 7
The following is a DFT calculation (GGA+U) of crystalline V4O3F9 at its relaxed geometry.

Geometry as POSCAR:
```
V4O3F9
1.0
5.338 0.147 -0.873
-2.450 4.365 1.456
-1.350 -0.635 9.152
V F O
4 9 3
Direct
0.012 0.035 0.997 V
0.250 0.751 0.750 V
0.488 0.465 0.502 V
0.735 0.262 0.256 V
0.445 0.621 0.661 F
0.829 0.589 0.083 F
0.374 0.025 0.125 F
0.921 0.094 0.170 F
0.132 0.477 0.367 F
0.680 0.904 0.412 F
0.883 0.537 0.619 F
0.053 0.886 0.836 F
0.615 0.961 0.886 F
0.336 0.111 0.590 O
0.585 0.390 0.336 O
0.162 0.391 0.912 O
```

The value obtained for the polymorph energy (0 for the lowest one) is 1 meV/atom. As for the space-group type: P1, No. 1. Its raw total energy is -6.42 eV/atom.

---

Record 8
The following is a DFT calculation (GGA+U) of crystalline V3OF11 at its relaxed geometry.

Geometry as POSCAR:
```
V3OF11
1.0
5.947 0.253 0.370
-0.597 7.231 0.103
-0.882 -0.920 5.099
F O V
11 1 3
Direct
0.261 0.529 0.859 F
0.009 0.178 0.335 F
0.163 0.178 0.842 F
0.582 0.734 0.516 F
0.851 0.452 0.625 F
0.265 0.931 0.137 F
0.750 0.085 0.905 F
0.720 0.469 0.128 F
0.852 0.818 0.156 F
0.135 0.553 0.364 F
0.427 0.282 0.480 F
0.999 0.826 0.692 O
0.009 0.978 0.960 V
0.821 0.636 0.397 V
0.172 0.359 0.586 V
```

The value obtained for the polymorph energy (0 for the lowest one) is 40 meV/atom. As for the space-group type: P1, No. 1. Its raw total energy is -5.69 eV/atom.

---

Total moment for the records above, in order: 2.000 6.000 4.000 5.000 9.000 0.024 5.000 2.000 μB/f.u.